Computed, not measured: a geometry-optimized La3AgO structure at the GGA-PBEsol level of DFT.

a = 4.961 Å, b = 4.961 Å, c = 4.961 Å
α = 90.00°, β = 90.00°, γ = 90.00°
Fractional positions:
La: 0.000 0.000 0.500
La: 0.000 0.500 0.000
La: 0.500 0.000 0.000
Ag: 0.500 0.500 0.500
O: 0.000 0.000 0.000

Output
For the total energy, the calculation gives -6.13 eV/atom. The symmetry is Pm-3m (221). The calculation puts the density of states at the Fermi level at 0.915 states/eV/atom.


Computed, not measured: a geometry-optimized LaAgS2O structure at the GGA-PBEsol level of DFT.

a = 4.400 Å, b = 4.400 Å, c = 6.181 Å
α = 90.00°, β = 90.00°, γ = 90.00°
Fractional positions:
La: 0.000 0.000 0.000
Ag: 0.000 0.000 0.500
S: 0.000 0.500 0.500
S: 0.500 0.000 0.500
O: 0.500 0.500 0.000

Output
For the total energy, the calculation gives -4.54 eV/atom. The symmetry is P4/mmm (123). The calculation puts the density of states at the Fermi level at 0.898 states/eV/atom.


Computed, not measured: a geometry-optimized LaAg3Os structure at the GGA-PBEsol level of DFT.

a = 5.176 Å, b = 5.176 Å, c = 5.176 Å
α = 90.00°, β = 90.00°, γ = 90.00°
Fractional positions:
La: 0.000 0.000 0.000
Ag: 0.000 0.000 0.500
Ag: 0.000 0.500 0.000
Ag: 0.500 0.000 0.000
Os: 0.500 0.500 0.500

Output
For the total energy, the calculation gives -3.17 eV/atom. The symmetry is Pm-3m (221). As for the formation energy: 2332 meV/atom. The calculation puts the density of states at the Fermi level at 0.949 states/eV/atom.


Computed, not measured: a geometry-optimized Rb2LaAgOs structure at the GGA-PBEsol level of DFT.

a = 5.618 Å, b = 5.618 Å, c = 6.086 Å
α = 90.00°, β = 90.00°, γ = 90.00°
Fractional positions:
Rb: 0.000 0.500 0.000
Rb: 0.500 0.000 0.000
La: 0.000 0.000 0.500
Ag: 0.000 0.000 0.000
Os: 0.500 0.500 0.500

Output
For the total energy, the calculation gives -2.91 eV/atom. The symmetry is P4/mmm (123). As for the formation energy: 1673 meV/atom. The calculation puts the density of states at the Fermi level at 1.850 states/eV/atom.


Computed, not measured: a geometry-optimized LaAgP2 structure at the GGA-PBEsol level of DFT.

a = 4.875 Å, b = 4.875 Å, c = 4.875 Å
α = 127.47°, β = 106.84°, γ = 95.85°
Fractional positions:
La: 0.000 0.000 0.000
Ag: 0.500 0.500 0.000
P: 0.315 0.815 0.500
P: 0.685 0.185 0.500

Output
For the total energy, the calculation gives -5.67 eV/atom. The symmetry is Immm (71). As for the formation energy: -614 meV/atom. The calculation puts the density of states at the Fermi level at 0.324 states/eV/atom.


Computed, not measured: a geometry-optimized LaAg2P structure at the GGA-PBEsol level of DFT.

a = 5.689 Å, b = 5.689 Å, c = 5.689 Å
α = 137.16°, β = 137.16°, γ = 62.20°
Fractional positions:
La: 0.000 0.000 0.000
Ag: 0.250 0.750 0.500
Ag: 0.750 0.250 0.500
P: 0.500 0.500 0.000

Output
For the total energy, the calculation gives -4.80 eV/atom. The symmetry is I4/mmm (139). As for the formation energy: -358 meV/atom. The calculation puts the density of states at the Fermi level at 0.379 states/eV/atom.